A plane-wave DFT calculation with PBE was carried out for an optimized crystal structure of TiNbF2.

Output
* SG: I-42d, No. 122
* excess energy over the best structure of this formula in the dataset: 380 meV per atom
* E_tot: -6.63 eV per atom
* ΔE_f (raw): -1.205 eV/atom

a b c (Å): 7.830 7.830 7.830
angles (deg): 151.52 151.52 40.72
Atoms (fractional coordinates):
Ti: 0.000 0.000 0.000
Ti: 0.750 0.250 0.500
Nb: 0.250 0.750 0.500
Nb: 0.500 0.500 0.000
F: 0.123 0.625 0.998
F: 0.375 0.373 0.498
F: 0.627 0.125 0.002
F: 0.875 0.877 0.502